Record 1
PrEr3Al: relaxed, GGA-PBE.

Summary:
Mass density in g/cm³: 7.702
Energy of formation from the pure elements in kJ/mol of formula units: -68
Calculated total energy in eV per atom: -4.58

extended XYZ file:
```
10
Lattice="3.586 0.000 -0.663 -0.375 8.394 -2.033 -0.072 -0.131 9.639" Properties=species:S:1:pos:R:3 pbc="T T T"
Er 1.332 3.355 -0.254
Pr -0.019 1.326 2.482
Al -0.234 5.585 1.308
Er 0.612 2.471 5.887
Er 0.506 5.981 5.304
Er 1.929 4.146 2.985
Er 1.174 6.901 -1.098
Pr 2.829 0.405 7.839
Er 1.822 7.655 2.402
Al 2.669 4.541 6.980
```

Record 2
PrEr12Al3: relaxed, GGA-PBE.

Summary:
Mass density in g/cm³: 8.386
Energy of formation from the pure elements in kJ/mol of formula units: -190
Calculated total energy in eV per atom: -4.55

extended XYZ file:
```
16
Lattice="4.762 0.000 0.000 0.000 4.762 0.000 0.000 0.000 19.461" Properties=species:S:1:pos:R:3 pbc="T T T"
Er 2.381 0.000 16.791
Er 2.381 2.381 14.411
Er 2.381 0.000 2.670
Pr 0.000 0.000 0.000
Er 2.381 0.000 7.381
Er 0.000 2.381 7.381
Al 0.000 0.000 9.730
Er 2.381 2.381 9.730
Er 0.000 2.381 2.670
Er 2.381 2.381 0.000
Al 0.000 0.000 5.044
Er 0.000 2.381 16.791
Er 2.381 2.381 5.050
Er 0.000 2.381 12.080
Er 2.381 0.000 12.080
Al 0.000 0.000 14.416
```

Record 3
PrEr5Al3: relaxed, GGA-PBE.

Summary:
Mass density in g/cm³: 7.425
Energy of formation from the pure elements in kJ/mol of formula units: -222
Calculated total energy in eV per atom: -4.57

extended XYZ file:
```
18
Lattice="-5.899 2.538 1.661 -3.670 -3.653 -7.455 0.157 -4.710 7.757" Properties=species:S:1:pos:R:3 pbc="T T T"
Pr -2.950 1.269 0.830
Er -5.344 -2.737 -1.554
Er -4.068 -3.088 3.517
Al -3.791 -4.879 0.614
Pr 0.000 0.000 0.000
Al -7.991 -4.855 -1.095
Er -2.642 -2.143 0.515
Er -8.043 -3.314 -3.633
Er -1.370 -2.511 5.596
Al -2.726 -0.610 -2.125
Er -5.644 0.690 -1.230
Er -2.395 -4.006 -2.384
Al -1.421 -0.970 3.058
Er -1.119 -4.357 2.686
Al -5.622 -0.946 1.349
Er -6.771 -3.682 1.448
Al -6.844 -0.505 -3.669
Er -3.926 -1.805 -4.564
```

Record 4
PrEr2Al2: relaxed, GGA-PBE.

Summary:
Mass density in g/cm³: 6.348
Energy of formation from the pure elements in kJ/mol of formula units: -79
Calculated total energy in eV per atom: -4.44
Relative energy among the computed polymorphs in meV/atom: 116.9

extended XYZ file:
```
10
Lattice="3.778 0.000 0.000 0.000 5.595 -0.026 0.000 -1.441 13.110" Properties=species:S:1:pos:R:3 pbc="T T T"
Al 2.833 0.662 4.486
Al 0.944 3.492 8.598
Er 0.944 3.471 11.653
Al 2.833 3.553 0.454
Al 0.944 0.601 12.630
Er 2.833 0.682 1.431
Pr 2.833 0.686 10.036
Er 2.833 3.473 6.076
Pr 0.944 3.468 3.048
Er 0.944 0.681 7.008
```

Record 5
Pr8Er2Al: relaxed, GGA-PBE.

Summary:
Mass density in g/cm³: 6.628
Energy of formation from the pure elements in kJ/mol of formula units: 34
Calculated total energy in eV per atom: -4.61

extended XYZ file:
```
11
Lattice="-4.403 2.506 2.298 -4.956 -4.796 -4.265 4.357 -4.756 6.800" Properties=species:S:1:pos:R:3 pbc="T T T"
Pr -3.842 -1.530 1.043
Pr -1.160 -5.515 3.791
Er -2.423 -4.496 0.260
Pr -3.737 -3.776 -3.043
Al -2.202 1.253 1.149
Pr -6.028 -4.241 -0.190
Pr -4.676 -4.751 2.956
Pr -1.265 -3.269 7.876
Pr -0.326 -2.294 1.877
Er -2.579 -2.550 4.574
Pr 1.026 -2.805 5.024
```

Record 6
Pr4Er5Al: relaxed, GGA-PBE.

Summary:
Mass density in g/cm³: 7.205
Energy of formation from the pure elements in kJ/mol of formula units: 61
Calculated total energy in eV per atom: -4.50
Relative energy among the computed polymorphs in meV/atom: 125.5

extended XYZ file:
```
10
Lattice="5.695 0.000 0.000 2.847 7.599 0.000 2.847 0.000 7.599" Properties=species:S:1:pos:R:3 pbc="T T T"
Er 5.493 0.000 2.748
Pr 5.446 2.354 5.246
Pr 5.446 5.245 2.353
Er 8.341 2.748 7.599
Er 5.493 7.599 4.851
Pr 8.294 5.246 5.245
Al 0.968 0.000 0.000
Pr 2.599 2.353 2.354
Er 3.736 0.000 0.000
Er 2.646 4.851 0.000
```

Record 7
PrEr4Al2: relaxed, GGA-PBE.

Summary:
Mass density in g/cm³: 7.123
Energy of formation from the pure elements in kJ/mol of formula units: 195
Calculated total energy in eV per atom: -4.07
Relative energy among the computed polymorphs in meV/atom: 492.3

extended XYZ file:
```
7
Lattice="5.624 0.000 0.000 0.000 5.624 0.000 -2.812 -2.812 6.366" Properties=species:S:1:pos:R:3 pbc="T T T"
Er 0.000 2.812 3.183
Pr 0.000 0.000 0.000
Er 2.812 0.000 0.000
Er 0.000 2.812 0.000
Er 2.812 0.000 3.183
Al 2.812 2.812 1.470
Al 0.000 0.000 4.896
```

Record 8
Pr2Er2Al: relaxed, GGA-PBE.

Summary:
Mass density in g/cm³: 7.142
Energy of formation from the pure elements in kJ/mol of formula units: -73
Calculated total energy in eV per atom: -4.64
Relative energy among the computed polymorphs in meV/atom: 0.0

extended XYZ file:
```
5
Lattice="-0.964 1.456 3.093 -2.886 -2.069 0.075 8.040 -8.014 4.236" Properties=species:S:1:pos:R:3 pbc="T T T"
Er 5.147 -7.003 4.899
Pr 2.323 -3.160 2.211
Er -0.957 -1.623 2.505
Pr 1.867 -5.466 5.194
Al 0.000 0.000 0.000
```

Record 9
Pr6ErAl: relaxed, GGA-PBE.

Summary:
Mass density in g/cm³: 6.487
Energy of formation from the pure elements in kJ/mol of formula units: -38
Calculated total energy in eV per atom: -4.67
Relative energy among the computed polymorphs in meV/atom: 9.9

extended XYZ file:
```
8
Lattice="6.444 1.597 -1.858 4.499 7.939 -0.963 1.519 3.081 5.746" Properties=species:S:1:pos:R:3 pbc="T T T"
Pr 1.899 1.971 1.622
Pr 9.019 8.024 -0.801
Pr 8.097 8.951 3.556
Al 0.000 0.000 0.000
Pr 10.564 10.646 1.303
Er 6.232 6.308 1.462
Pr 3.444 4.593 3.726
Pr 4.366 3.666 -0.631
```

Record 10
Pr2ErAl: relaxed, GGA-PBE.

Summary:
Mass density in g/cm³: 6.797
Energy of formation from the pure elements in kJ/mol of formula units: -24
Calculated total energy in eV per atom: -4.53
Relative energy among the computed polymorphs in meV/atom: 103.2

extended XYZ file:
```
4
Lattice="-2.674 -4.564 1.427 1.326 -2.619 4.626 -3.440 0.060 4.264" Properties=species:S:1:pos:R:3 pbc="T T T"
Pr -3.591 -5.343 7.738
Er -2.394 -3.562 5.158
Pr -1.197 -1.781 2.579
Al 0.000 0.000 0.000
```

Record 11
Pr2ErAl: relaxed, GGA-PBE.

Summary:
Mass density in g/cm³: 6.268
Energy of formation from the pure elements in kJ/mol of formula units: 0
Calculated total energy in eV per atom: -4.47
Relative energy among the computed polymorphs in meV/atom: 166.1

extended XYZ file:
```
4
Lattice="3.686 0.000 0.000 1.843 3.192 0.000 1.843 1.064 10.717" Properties=species:S:1:pos:R:3 pbc="T T T"
Pr 1.843 1.064 8.342
Pr 1.843 1.064 2.370
Al 3.686 2.128 0.007
Er 3.686 2.128 5.355
```

Record 12
PrEr7Al5: relaxed, GGA-PBE.

Summary:
Mass density in g/cm³: 7.245
Energy of formation from the pure elements in kJ/mol of formula units: -295
Calculated total energy in eV per atom: -4.50

extended XYZ file:
```
13
Lattice="6.076 0.000 0.000 3.038 7.389 0.207 3.038 0.183 7.390" Properties=species:S:1:pos:R:3 pbc="T T T"
Al 9.114 5.770 5.789
Al 7.597 7.450 3.991
Er 9.115 2.683 5.012
Al 7.597 3.967 7.463
Er 6.076 4.994 5.010
Al 10.632 7.450 3.991
Er 6.076 1.543 5.934
Er 9.115 5.003 2.699
Er 6.076 2.573 2.581
Pr 6.076 7.493 7.517
Er 6.076 5.929 1.562
Al 10.632 3.967 7.463
Er 3.038 1.753 1.759
```

Table of M_tot (μB/f.u.), in record order: 0.00, 0.00, 0.00, 0.00, 0.00, 0.00, 0.00, 0.00, 0.00, 0.00, 0.72, 0.00
Table of D(E_F) (states/eV per atom), in record order: 1.108, 1.008, 1.145, 0.944, 1.347, 1.404, 1.262, 1.032, 1.061, 1.604, 1.330, 0.914